#a
Below is crystalline HfOs2Pd at its relaxed geometry, with properties calculated at the PBE level.

Cell and atoms, written as extended XYZ:
```
16
Lattice="3.867 0.000 0.000 0.000 3.867 0.000 0.000 0.000 19.042" Properties=species:S:1:pos:R:3 pbc="T T T"
Hf 0.000 0.000 0.000
Hf 0.000 1.933 4.761
Hf 1.933 0.000 14.282
Hf 1.933 1.933 9.521
Os 0.752 0.967 11.901
Os 0.967 2.685 16.662
Os 0.967 3.115 7.141
Os 1.182 0.967 2.380
Os 2.685 2.900 2.380
Os 2.900 0.752 7.141
Os 2.900 1.182 16.662
Os 3.115 2.900 11.901
Pd 0.000 0.000 9.521
Pd 0.000 1.933 14.282
Pd 1.933 0.000 4.761
Pd 1.933 1.933 0.000
```

Summary:
V = 17.797 Å³ per atom
Size of the total moment = 0.00 μB per formula unit

#b
Below is crystalline HfOs2Pd at its relaxed geometry, with properties calculated at the PBE level.

Cell and atoms, written as extended XYZ:
```
16
Lattice="6.363 0.000 0.000 0.000 6.363 0.000 0.000 0.000 6.363" Properties=species:S:1:pos:R:3 pbc="T T T"
Hf 0.000 0.000 0.000
Hf 0.000 3.181 3.181
Hf 3.181 0.000 3.181
Hf 3.181 3.181 0.000
Os 1.591 1.591 1.591
Os 1.591 1.591 4.772
Os 1.591 4.772 1.591
Os 1.591 4.772 4.772
Os 4.772 1.591 1.591
Os 4.772 1.591 4.772
Os 4.772 4.772 1.591
Os 4.772 4.772 4.772
Pd 0.000 0.000 3.181
Pd 0.000 3.181 0.000
Pd 3.181 0.000 0.000
Pd 3.181 3.181 3.181
```

Summary:
V = 16.101 Å³ per atom
Size of the total moment = 0.00 μB per formula unit

Energies relative to the minimum, eV/atom: #a 0.191; #b 0.000

#a
Below is crystalline HfOsPd2 at its relaxed geometry, with properties calculated at the PBE level.

Cell and atoms, written as extended XYZ:
```
16
Lattice="6.407 0.000 0.000 0.000 6.407 0.000 0.000 0.000 6.407" Properties=species:S:1:pos:R:3 pbc="T T T"
Hf 0.000 0.000 0.000
Hf 0.000 3.203 3.203
Hf 3.203 0.000 3.203
Hf 3.203 3.203 0.000
Os 0.000 0.000 3.203
Os 0.000 3.203 0.000
Os 3.203 0.000 0.000
Os 3.203 3.203 3.203
Pd 1.602 1.602 1.602
Pd 1.602 1.602 4.805
Pd 1.602 4.805 1.602
Pd 1.602 4.805 4.805
Pd 4.805 1.602 1.602
Pd 4.805 1.602 4.805
Pd 4.805 4.805 1.602
Pd 4.805 4.805 4.805
```

Summary:
V = 16.436 Å³ per atom
Size of the total moment = 0.00 μB per formula unit

#b
Below is crystalline HfOsPd2 at its relaxed geometry, with properties calculated at the PBE level.

Cell and atoms, written as extended XYZ:
```
16
Lattice="3.843 0.000 0.000 0.000 3.843 0.000 0.000 0.000 18.930" Properties=species:S:1:pos:R:3 pbc="T T T"
Hf 0.000 0.000 0.000
Hf 0.000 1.921 4.733
Hf 1.921 0.000 14.198
Hf 1.921 1.921 9.465
Os 0.000 0.000 9.465
Os 0.000 1.921 14.198
Os 1.921 0.000 4.733
Os 1.921 1.921 0.000
Pd 0.927 0.961 11.831
Pd 0.961 2.849 16.564
Pd 0.961 2.915 7.099
Pd 0.994 0.961 2.366
Pd 2.849 2.882 2.366
Pd 2.882 0.927 7.099
Pd 2.882 0.994 16.564
Pd 2.915 2.882 11.831
```

Summary:
V = 17.471 Å³ per atom
Size of the total moment = 0.00 μB per formula unit

Energies relative to the minimum, eV/atom: #a 0.000; #b 0.085

#a
Below is crystalline Hf4Os2Pd at its relaxed geometry, with properties calculated at the PBE level.

Cell and atoms, written as extended XYZ:
```
14
Lattice="4.880 0.000 0.000 0.000 4.880 0.000 0.000 0.000 13.199" Properties=species:S:1:pos:R:3 pbc="T T T"
Hf 0.000 0.000 2.641
Hf 0.000 0.000 10.558
Hf 0.000 2.440 0.000
Hf 0.000 2.440 6.600
Hf 2.440 0.000 0.000
Hf 2.440 0.000 6.600
Hf 2.440 2.440 3.959
Hf 2.440 2.440 9.240
Os 0.000 0.000 5.145
Os 0.000 0.000 8.055
Os 2.440 2.440 1.455
Os 2.440 2.440 11.744
Pd 0.000 0.000 0.000
Pd 2.440 2.440 6.600
```

Summary:
V = 22.454 Å³ per atom
Size of the total moment = 0.00 μB per formula unit

#b
Below is crystalline Hf4Os2Pd at its relaxed geometry, with properties calculated at the PBE level.

Cell and atoms, written as extended XYZ:
```
14
Lattice="6.524 0.000 0.000 0.000 6.524 0.000 0.000 0.000 6.410" Properties=species:S:1:pos:R:3 pbc="T T T"
Hf 1.631 1.631 1.602
Hf 1.631 1.631 4.807
Hf 1.631 4.893 1.602
Hf 1.631 4.893 4.807
Hf 4.893 1.631 1.602
Hf 4.893 1.631 4.807
Hf 4.893 4.893 1.602
Hf 4.893 4.893 4.807
Os 0.000 3.262 0.000
Os 0.000 3.262 3.205
Os 3.262 0.000 0.000
Os 3.262 0.000 3.205
Pd 0.000 0.000 0.000
Pd 3.262 3.262 3.205
```

Summary:
V = 19.487 Å³ per atom
Size of the total moment = 0.00 μB per formula unit

Energies relative to the minimum, eV/atom: #a 0.913; #b 0.000

#a
Below is crystalline HfOs3Pt at its relaxed geometry, with properties calculated at the PBE level.

Cell and atoms, written as extended XYZ:
```
5
Lattice="4.712 0.000 0.000 0.000 4.712 0.000 0.000 0.000 4.712" Properties=species:S:1:pos:R:3 pbc="T T T"
Hf 0.000 0.000 0.000
Os 0.000 2.356 2.356
Os 2.356 0.000 2.356
Os 2.356 2.356 0.000
Pt 2.356 2.356 2.356
```

Summary:
V = 20.918 Å³ per atom
Size of the total moment = 0.00 μB per formula unit

#b
Below is crystalline HfOs3Pt at its relaxed geometry, with properties calculated at the PBE level.

Cell and atoms, written as extended XYZ:
```
5
Lattice="4.722 0.000 0.000 0.000 4.722 0.000 0.000 0.000 4.722" Properties=species:S:1:pos:R:3 pbc="T T T"
Hf 0.000 0.000 0.000
Os 0.000 0.000 2.361
Os 0.000 2.361 0.000
Os 2.361 0.000 0.000
Pt 2.361 2.361 2.361
```

Summary:
V = 21.057 Å³ per atom
Size of the total moment = 1.95 μB per formula unit

Energies relative to the minimum, eV/atom: #a 0.000; #b 0.463

#a
Below is crystalline PuHf2Os at its relaxed geometry, with properties calculated at the PBE level.

Cell and atoms, written as extended XYZ:
```
4
Lattice="3.221 0.000 0.000 0.000 3.221 0.000 0.000 0.000 7.797" Properties=species:S:1:pos:R:3 pbc="T T T"
Pu 0.000 0.000 0.000
Hf 1.610 1.610 2.259
Hf 1.610 1.610 5.537
Os 0.000 0.000 3.898
```

Summary:
V = 20.220 Å³ per atom
Size of the total moment = 5.40 μB per formula unit

#b
Below is crystalline PuHf2Os at its relaxed geometry, with properties calculated at the PBE level.

Cell and atoms, written as extended XYZ:
```
4
Lattice="4.884 0.000 0.000 0.000 4.884 0.000 0.000 0.000 3.243" Properties=species:S:1:pos:R:3 pbc="T T T"
Pu 0.000 0.000 0.000
Hf 0.000 2.442 1.621
Hf 2.442 0.000 1.621
Os 2.442 2.442 0.000
```

Summary:
V = 19.336 Å³ per atom
Size of the total moment = 5.48 μB per formula unit

#c
Below is crystalline PuHf2Os at its relaxed geometry, with properties calculated at the PBE level.

Cell and atoms, written as extended XYZ:
```
16
Lattice="6.770 0.000 0.000 0.000 6.770 0.000 0.000 0.000 6.770" Properties=species:S:1:pos:R:3 pbc="T T T"
Pu 0.000 0.000 0.000
Pu 0.000 3.385 3.385
Pu 3.385 0.000 3.385
Pu 3.385 3.385 0.000
Hf 1.693 1.693 1.693
Hf 1.693 1.693 5.078
Hf 1.693 5.078 1.693
Hf 1.693 5.078 5.078
Hf 5.078 1.693 1.693
Hf 5.078 1.693 5.078
Hf 5.078 5.078 1.693
Hf 5.078 5.078 5.078
Os 0.000 0.000 3.385
Os 0.000 3.385 0.000
Os 3.385 0.000 0.000
Os 3.385 3.385 3.385
```

Summary:
V = 19.397 Å³ per atom
Size of the total moment = 5.02 μB per formula unit

Energies relative to the minimum, eV/atom: #a 0.000; #b 0.233; #c 0.254

#a
Below is crystalline RbHfOs3 at its relaxed geometry, with properties calculated at the PBE level.

Cell and atoms, written as extended XYZ:
```
5
Lattice="5.010 0.000 0.000 0.000 5.010 0.000 0.000 0.000 5.010" Properties=species:S:1:pos:R:3 pbc="T T T"
Rb 0.000 0.000 0.000
Hf 2.505 2.505 2.505
Os 0.000 2.505 2.505
Os 2.505 0.000 2.505
Os 2.505 2.505 0.000
```

Summary:
V = 25.152 Å³ per atom
Size of the total moment = 3.81 μB per formula unit

#b
Below is crystalline RbHfOs3 at its relaxed geometry, with properties calculated at the PBE level.

Cell and atoms, written as extended XYZ:
```
5
Lattice="4.677 0.000 0.000 0.000 4.677 0.000 0.000 0.000 4.677" Properties=species:S:1:pos:R:3 pbc="T T T"
Rb 0.000 0.000 0.000
Hf 2.339 2.339 2.339
Os 0.000 0.000 2.339
Os 0.000 2.339 0.000
Os 2.339 0.000 0.000
```

Summary:
V = 20.467 Å³ per atom
Size of the total moment = 0.00 μB per formula unit

Energies relative to the minimum, eV/atom: #a 0.000; #b 1.162

#a
Below is crystalline RbHf2Os at its relaxed geometry, with properties calculated at the PBE level.

Cell and atoms, written as extended XYZ:
```
16
Lattice="6.513 0.000 0.000 0.000 6.513 0.000 0.000 0.000 15.194" Properties=species:S:1:pos:R:3 pbc="T T T"
Rb 0.000 1.628 5.698
Rb 0.000 4.885 9.496
Rb 3.257 1.628 1.899
Rb 3.257 4.885 13.295
Hf 0.000 0.000 0.000
Hf 0.000 3.257 0.000
Hf 1.628 1.628 11.396
Hf 1.628 4.885 3.799
Hf 3.257 0.000 7.597
Hf 3.257 3.257 7.597
Hf 4.885 1.628 11.396
Hf 4.885 4.885 3.799
Os 0.000 1.628 13.295
Os 0.000 4.885 1.899
Os 3.257 1.628 9.496
Os 3.257 4.885 5.698
```

Summary:
V = 40.289 Å³ per atom
Size of the total moment = 0.00 μB per formula unit

#b
Below is crystalline RbHf2Os at its relaxed geometry, with properties calculated at the PBE level.

Cell and atoms, written as extended XYZ:
```
16
Lattice="6.949 0.000 0.000 0.000 6.949 0.000 0.000 0.000 6.949" Properties=species:S:1:pos:R:3 pbc="T T T"
Rb 0.000 0.000 0.000
Rb 0.000 3.475 3.475
Rb 3.475 0.000 3.475
Rb 3.475 3.475 0.000
Hf 1.737 1.737 1.737
Hf 1.737 1.737 5.212
Hf 1.737 5.212 1.737
Hf 1.737 5.212 5.212
Hf 5.212 1.737 1.737
Hf 5.212 1.737 5.212
Hf 5.212 5.212 1.737
Hf 5.212 5.212 5.212
Os 0.000 0.000 3.475
Os 0.000 3.475 0.000
Os 3.475 0.000 0.000
Os 3.475 3.475 3.475
```

Summary:
V = 20.973 Å³ per atom
Size of the total moment = 0.00 μB per formula unit

Energies relative to the minimum, eV/atom: #a 0.248; #b 0.000

#a
Below is crystalline Hf4ReOs at its relaxed geometry, with properties calculated at the PBE level.

Cell and atoms, written as extended XYZ:
```
12
Lattice="7.841 0.000 0.000 0.000 4.519 0.000 -2.619 0.000 7.390" Properties=species:S:1:pos:R:3 pbc="T T T"
Hf -0.002 0.000 2.770
Hf -1.312 2.260 6.467
Hf 2.613 0.000 0.924
Hf 1.304 2.260 4.620
Hf 2.609 0.000 6.467
Hf 3.918 2.260 2.770
Hf 5.225 0.000 4.620
Hf 6.534 2.260 0.924
Re 0.000 0.000 0.000
Re 3.921 2.260 0.000
Os -1.309 2.260 3.695
Os 2.611 0.000 3.695
```

Summary:
V = 21.823 Å³ per atom
Size of the total moment = 0.00 μB per formula unit

#b
Below is crystalline Hf4ReOs at its relaxed geometry, with properties calculated at the PBE level.

Cell and atoms, written as extended XYZ:
```
6
Lattice="3.298 0.000 0.000 0.000 3.298 0.000 0.000 0.000 10.450" Properties=species:S:1:pos:R:3 pbc="T T T"
Hf 0.000 0.000 1.570
Hf 0.000 0.000 8.881
Hf 1.649 1.649 3.641
Hf 1.649 1.649 6.810
Re 1.649 1.649 0.000
Os 0.000 0.000 5.225
```

Summary:
V = 18.947 Å³ per atom
Size of the total moment = 0.00 μB per formula unit

Energies relative to the minimum, eV/atom: #a 0.145; #b 0.000